*one*
Zr4Cd2In after structural relaxation. Source: Alexandria, functional GGA-PBE.

Lattice parameters (Å, degrees): 5.513 10.182 5.795 90.00 90.55 90.00
Positions (direct):
Zr 0.001 0.191 0.000
Zr 0.001 0.309 0.500
Zr 0.498 0.750 0.250
Zr 0.498 0.750 0.750
Zr 0.502 0.250 0.250
Zr 0.502 0.250 0.750
Zr 0.999 0.691 0.500
Zr 0.999 0.809 0.000
Cd 0.243 0.001 0.494
Cd 0.243 0.499 0.994
Cd 0.757 0.501 0.006
Cd 0.757 0.999 0.506
In 0.500 0.000 0.000
In 0.500 0.500 0.500

total moment = 0.0 μB/cell

*two*
Zr4Cd2In after structural relaxation. Source: Alexandria, functional GGA-PBE.

Lattice parameters (Å, degrees): 11.480 11.480 5.200 90.00 90.00 165.09
Positions (direct):
Zr 0.064 0.936 0.000
Zr 0.126 0.874 0.500
Zr 0.874 0.126 0.500
Zr 0.936 0.064 0.000
Cd 0.196 0.804 0.000
Cd 0.804 0.196 0.000
In 0.500 0.500 0.500

total moment = 0.0 μB/cell

Q: What are the energies relative to the best structure? A: *one* 0; *two* 277, in meV/atom.

*one*
Cd3Ir5 after structural relaxation. Source: Alexandria, functional GGA-PBE.

Lattice parameters (Å, degrees): 8.283 8.283 4.844 90.00 90.00 120.00
Positions (direct):
Cd 0.000 0.393 0.250
Cd 0.000 0.607 0.750
Cd 0.393 0.000 0.250
Cd 0.393 0.393 0.750
Cd 0.607 0.000 0.750
Cd 0.607 0.607 0.250
Ir 0.000 0.182 0.750
Ir 0.000 0.818 0.250
Ir 0.182 0.000 0.750
Ir 0.182 0.182 0.250
Ir 0.333 0.667 0.000
Ir 0.333 0.667 0.500
Ir 0.667 0.333 0.000
Ir 0.667 0.333 0.500
Ir 0.818 0.000 0.250
Ir 0.818 0.818 0.750

total moment = 0.1 μB/cell

*two*
Cd3Ir5 after structural relaxation. Source: Alexandria, functional GGA-PBE.

Lattice parameters (Å, degrees): 7.911 7.911 5.122 108.84 108.84 84.01
Positions (direct):
Cd 0.000 0.000 0.250
Cd 0.000 0.000 0.750
Cd 0.084 0.500 0.792
Cd 0.500 0.084 0.292
Cd 0.500 0.916 0.708
Cd 0.916 0.500 0.208
Ir 0.234 0.319 0.277
Ir 0.234 0.681 0.458
Ir 0.319 0.234 0.777
Ir 0.319 0.766 0.042
Ir 0.500 0.500 0.250
Ir 0.500 0.500 0.750
Ir 0.681 0.234 0.958
Ir 0.681 0.766 0.223
Ir 0.766 0.319 0.542
Ir 0.766 0.681 0.723

total moment = 0.0 μB/cell

Q: What are the energies relative to the best structure? A: *one* 116; *two* 0, in meV/atom.

*one*
KLa2CdIr after structural relaxation. Source: Alexandria, functional GGA-PBE.

Lattice parameters (Å, degrees): 5.502 5.502 6.268 90.00 90.00 90.00
Positions (direct):
K 0.000 0.000 0.000
La 0.000 0.500 0.500
La 0.500 0.000 0.500
Cd 0.500 0.500 0.000
Ir 0.000 0.000 0.500

total moment = 0.0 μB/cell

*two*
KLa2CdIr after structural relaxation. Source: Alexandria, functional GGA-PBE.

Lattice parameters (Å, degrees): 5.598 5.598 5.546 90.00 90.00 90.00
Positions (direct):
K 0.000 0.000 0.000
La 0.000 0.500 0.500
La 0.500 0.000 0.500
Cd 0.500 0.500 0.000
Ir 0.500 0.500 0.500

total moment = 0.0 μB/cell

Q: What are the energies relative to the best structure? A: *one* 122; *two* 0, in meV/atom.

*one*
La4Cd2Ir after structural relaxation. Source: Alexandria, functional GGA-PBE.

Lattice parameters (Å, degrees): 8.885 8.885 8.885 143.39 143.39 52.73
Positions (direct):
La 0.000 0.500 0.500
La 0.181 0.181 0.000
La 0.500 0.000 0.500
La 0.819 0.819 0.000
Cd 0.380 0.380 0.000
Cd 0.620 0.620 0.000
Ir 0.000 0.000 0.000

total moment = 0.0 μB/cell

*two*
La4Cd2Ir after structural relaxation. Source: Alexandria, functional GGA-PBE.

Lattice parameters (Å, degrees): 5.872 5.872 19.549 90.00 90.00 139.58
Positions (direct):
La 0.000 0.000 0.000
La 0.000 0.000 0.500
La 0.318 0.682 0.750
La 0.414 0.586 0.148
La 0.414 0.586 0.352
La 0.586 0.414 0.648
La 0.586 0.414 0.852
La 0.682 0.318 0.250
Cd 0.290 0.710 0.564
Cd 0.290 0.710 0.936
Cd 0.710 0.290 0.064
Cd 0.710 0.290 0.436
Ir 0.035 0.965 0.750
Ir 0.965 0.035 0.250

total moment = 0.0 μB/cell

Q: What are the energies relative to the best structure? A: *one* 32; *two* 0, in meV/atom.

*one*
La4CdIr after structural relaxation. Source: Alexandria, functional GGA-PBE.

Lattice parameters (Å, degrees): 6.267 6.267 6.267 60.00 60.00 60.00
Positions (direct):
La 0.377 0.377 0.377
La 0.377 0.377 0.870
La 0.377 0.870 0.377
La 0.870 0.377 0.377
Cd 0.000 0.000 0.000
Ir 0.750 0.750 0.750

total moment = 0.0 μB/cell

*two*
La4CdIr after structural relaxation. Source: Alexandria, functional GGA-PBE.

Lattice parameters (Å, degrees): 10.125 10.125 10.125 60.00 60.00 60.00
Positions (direct):
La 0.059 0.059 0.441
La 0.059 0.441 0.059
La 0.059 0.441 0.441
La 0.190 0.190 0.810
La 0.190 0.810 0.190
La 0.190 0.810 0.810
La 0.208 0.597 0.597
La 0.441 0.059 0.059
La 0.441 0.059 0.441
La 0.441 0.441 0.059
La 0.597 0.208 0.597
La 0.597 0.597 0.208
La 0.597 0.597 0.597
La 0.810 0.190 0.190
La 0.810 0.190 0.810
La 0.810 0.810 0.190
Cd 0.512 0.829 0.829
Cd 0.829 0.512 0.829
Cd 0.829 0.829 0.512
Cd 0.829 0.829 0.829
Ir 0.391 0.391 0.391
Ir 0.391 0.391 0.827
Ir 0.391 0.827 0.391
Ir 0.827 0.391 0.391

total moment = 0.0 μB/cell

*three*
La4CdIr after structural relaxation. Source: Alexandria, functional GGA-PBE.

Lattice parameters (Å, degrees): 9.053 9.053 7.063 106.73 106.73 117.62
Positions (direct):
La 0.066 0.643 0.865
La 0.188 0.272 0.722
La 0.272 0.188 0.222
La 0.357 0.934 0.635
La 0.643 0.066 0.365
La 0.728 0.812 0.778
La 0.812 0.728 0.278
La 0.934 0.357 0.135
Cd 0.381 0.619 0.250
Cd 0.619 0.381 0.750
Ir 0.080 0.920 0.750
Ir 0.920 0.080 0.250

total moment = 0.0 μB/cell

Q: What are the energies relative to the best structure? A: *one* 981; *two* 0; *three* 144, in meV/atom.

*one*
LaCdIr3 after structural relaxation. Source: Alexandria, functional GGA-PBE.

Lattice parameters (Å, degrees): 4.978 4.978 4.978 90.00 90.00 90.00
Positions (direct):
La 0.000 0.000 0.000
Cd 0.500 0.500 0.500
Ir 0.000 0.000 0.500
Ir 0.000 0.500 0.000
Ir 0.500 0.000 0.000

total moment = 0.0 μB/cell

*two*
LaCdIr3 after structural relaxation. Source: Alexandria, functional GGA-PBE.

Lattice parameters (Å, degrees): 4.898 4.898 4.898 90.00 90.00 90.00
Positions (direct):
La 0.000 0.000 0.000
Cd 0.500 0.500 0.500
Ir 0.000 0.500 0.500
Ir 0.500 0.000 0.500
Ir 0.500 0.500 0.000

total moment = 1.1 μB/cell

Q: What are the energies relative to the best structure? A: *one* 667; *two* 0, in meV/atom.

*one*
LaCd2Ir2 after structural relaxation. Source: Alexandria, functional GGA-PBE.

Lattice parameters (Å, degrees): 7.944 7.944 3.206 90.00 90.00 90.00
Positions (direct):
La 0.000 0.000 0.000
La 0.500 0.500 0.000
Cd 0.130 0.370 0.500
Cd 0.370 0.870 0.500
Cd 0.630 0.130 0.500
Cd 0.870 0.630 0.500
Ir 0.168 0.668 0.000
Ir 0.332 0.168 0.000
Ir 0.668 0.832 0.000
Ir 0.832 0.332 0.000

total moment = 0.0 μB/cell

*two*
LaCd2Ir2 after structural relaxation. Source: Alexandria, functional GGA-PBE.

Lattice parameters (Å, degrees): 6.771 6.771 6.771 143.17 143.17 53.07
Positions (direct):
La 0.000 0.000 0.000
Cd 0.250 0.750 0.500
Cd 0.750 0.250 0.500
Ir 0.399 0.399 0.000
Ir 0.601 0.601 0.000

total moment = 0.0 μB/cell

Q: What are the energies relative to the best structure? A: *one* 142; *two* 0, in meV/atom.

*one*
La7Cd2Ir2 after structural relaxation. Source: Alexandria, functional GGA-PBE.

Lattice parameters (Å, degrees): 7.141 7.141 7.443 90.00 90.00 107.59
Positions (direct):
La 0.000 0.000 0.000
La 0.000 0.500 0.251
La 0.000 0.500 0.749
La 0.500 0.000 0.251
La 0.500 0.000 0.749
La 0.500 0.500 0.243
La 0.500 0.500 0.757
Cd 0.169 0.169 0.500
Cd 0.831 0.831 0.500
Ir 0.287 0.713 0.000
Ir 0.713 0.287 0.000

total moment = 0.0 μB/cell

*two*
La7Cd2Ir2 after structural relaxation. Source: Alexandria, functional GGA-PBE.

Lattice parameters (Å, degrees): 9.803 9.803 9.803 156.49 71.90 113.18
Positions (direct):
La 0.000 0.000 0.000
La 0.052 0.699 0.354
La 0.324 0.495 0.829
La 0.345 0.699 0.646
La 0.646 0.300 0.346
La 0.666 0.495 0.171
La 0.953 0.300 0.654
Cd 0.449 0.949 0.500
Cd 0.682 0.682 0.000
Ir 0.197 0.005 0.192
Ir 0.814 0.005 0.808

total moment = 0.0 μB/cell

Q: What are the energies relative to the best structure? A: *one* 0; *two* 10, in meV/atom.

*one*
LiLa2CdIr after structural relaxation. Source: Alexandria, functional GGA-PBE.

Lattice parameters (Å, degrees): 5.499 5.499 5.338 90.00 90.00 90.00
Positions (direct):
Li 0.000 0.000 0.000
La 0.000 0.500 0.500
La 0.500 0.000 0.500
Cd 0.500 0.500 0.000
Ir 0.500 0.500 0.500

total moment = 0.0 μB/cell

*two*
LiLa2CdIr after structural relaxation. Source: Alexandria, functional GGA-PBE.

Lattice parameters (Å, degrees): 5.517 5.517 4.979 90.00 90.00 90.00
Positions (direct):
Li 0.000 0.000 0.000
La 0.000 0.500 0.500
La 0.500 0.000 0.500
Cd 0.500 0.500 0.000
Ir 0.000 0.000 0.500

total moment = 0.0 μB/cell

Q: What are the energies relative to the best structure? A: *one* 47; *two* 0, in meV/atom.

*one*
La2ZnCdIr after structural relaxation. Source: Alexandria, functional GGA-PBE.

Lattice parameters (Å, degrees): 7.571 4.516 8.051 90.00 108.47 90.00
Positions (direct):
La 0.134 0.250 0.336
La 0.271 0.250 0.948
La 0.729 0.750 0.052
La 0.866 0.750 0.664
Zn 0.450 0.750 0.325
Zn 0.550 0.250 0.675
Cd 0.334 0.750 0.651
Cd 0.666 0.250 0.349
Ir 0.129 0.750 0.094
Ir 0.871 0.250 0.906

total moment = 0.0 μB/cell

*two*
La2ZnCdIr after structural relaxation. Source: Alexandria, functional GGA-PBE.

Lattice parameters (Å, degrees): 5.517 5.517 4.952 90.00 90.00 90.00
Positions (direct):
La 0.000 0.500 0.000
La 0.500 0.000 0.000
Zn 0.000 0.000 0.500
Cd 0.500 0.500 0.500
Ir 0.000 0.000 0.000

total moment = 0.0 μB/cell

Q: What are the energies relative to the best structure? A: *one* 0; *two* 98, in meV/atom.